[1]
Cd3NiW: optimized geometry, GGA-PBE.

Results
ΔH_f (0 K), eV per formula unit: 6.53
Energy, eV per cell: -14.949
Energy above the lowest structure with this stoichiometry, eV per atom: 0.000
Magnetic moment, Bohr magnetons per cell: 0.0

abc: 4.7121 4.7121 4.7121
angles: 90.00 90.00 90.00
Closest atoms and distances in Å follow each position.
Atoms (fractional coordinates):
Cd 0.0000 0.0000 0.5000  2 Ni 2.36
Cd 0.0000 0.5000 0.0000  2 Ni 2.36
Cd 0.5000 0.0000 0.0000  2 Ni 2.36
Ni 0.0000 0.0000 0.0000  6 Cd 2.36
W 0.5000 0.5000 0.5000  12 Cd 3.33

---

[2]
Cd2Ni2W: optimized geometry, GGA-PBE.

Results
ΔH_f (0 K), eV per formula unit: 3.99
Energy, eV per cell: -44.702
Magnetic moment, Bohr magnetons per cell: 1.9

abc: 3.6638 3.6638 12.3164
angles: 90.00 90.00 90.00
Closest atoms and distances in Å follow each position.
Atoms (fractional coordinates):
Cd 0.0000 0.5000 0.2500  4 Cd 2.59, 4 Ni 2.69
Cd 0.0000 0.5000 0.7500  4 Cd 2.59, 4 Ni 2.69
Cd 0.5000 0.0000 0.2500  4 Cd 2.59, 4 Ni 2.69
Cd 0.5000 0.0000 0.7500  4 Cd 2.59, 4 Ni 2.69
Ni 0.0000 0.0000 0.0897  1 Ni 2.21
Ni 0.0000 0.0000 0.9103  1 Ni 2.21
Ni 0.5000 0.5000 0.4103  1 Ni 2.21
Ni 0.5000 0.5000 0.5897  1 Ni 2.21
W 0.0000 0.0000 0.5000  8 Ni 2.82
W 0.5000 0.5000 0.0000  8 Ni 2.82

---

[3]
Cd2NiW: optimized geometry, GGA-PBE.

Results
ΔH_f (0 K), eV per formula unit: 2.21
Energy, eV per cell: -36.711
Energy above the lowest structure with this stoichiometry, eV per atom: 0.353
Magnetic moment, Bohr magnetons per cell: 1.2

abc: 5.5508 9.4048 2.7228
angles: 90.00 107.62 90.00
Closest atoms and distances in Å follow each position.
Atoms (fractional coordinates):
Cd 0.2500 0.2500 0.0000  4 Cd 2.72-2.78, 2 Ni 2.86, 2 W 2.86
Cd 0.2500 0.7500 0.0000  4 Cd 2.72-2.78, 2 W 2.86, 2 Ni 2.86
Cd 0.7500 0.2500 0.0000  4 Cd 2.72-2.78, 2 W 2.86, 2 Ni 2.86
Cd 0.7500 0.7500 0.0000  4 Cd 2.72-2.78, 2 W 2.86, 2 Ni 2.86
Ni 0.0000 0.0000 0.5000  2 Ni 2.72, 2 W 2.78, 4 Cd 2.86
Ni 0.5000 0.5000 0.5000  2 Ni 2.72, 2 W 2.78, 4 Cd 2.86
W 0.0000 0.5000 0.5000  2 W 2.72, 2 Ni 2.78, 4 Cd 2.86
W 0.5000 0.0000 0.5000  2 W 2.72, 2 Ni 2.78, 4 Cd 2.86

---

[4]
Cd2NiW: optimized geometry, GGA-PBE.

Results
ΔH_f (0 K), eV per formula unit: 2.52
Energy, eV per cell: -18.044
Energy above the lowest structure with this stoichiometry, eV per atom: 0.431
Magnetic moment, Bohr magnetons per cell: 0.0

abc: 3.9592 3.9592 4.2778
angles: 90.00 90.00 90.00
Closest atoms and distances in Å follow each position.
Atoms (fractional coordinates):
Cd 0.0000 0.5000 0.0000  4 Cd 2.80, 4 W 2.91, 4 Ni 2.91
Cd 0.5000 0.0000 0.0000  4 Cd 2.80, 4 W 2.91, 4 Ni 2.91
Ni 0.0000 0.0000 0.5000  4 W 2.80, 8 Cd 2.91
W 0.5000 0.5000 0.5000  4 Ni 2.80, 8 Cd 2.91

---

[5]
Cd2NiW: optimized geometry, GGA-PBE.

Results
ΔH_f (0 K), eV per formula unit: 3.29
Energy, eV per cell: -69.115
Energy above the lowest structure with this stoichiometry, eV per atom: 0.622
Magnetic moment, Bohr magnetons per cell: 7.7

abc: 6.4952 6.4952 6.4952
angles: 90.00 90.00 90.00
Closest atoms and distances in Å follow each position.
Atoms (fractional coordinates):
Cd 0.2500 0.2500 0.2500  4 W 2.81, 4 Ni 2.81
Cd 0.2500 0.2500 0.7500  4 W 2.81, 4 Ni 2.81
Cd 0.2500 0.7500 0.2500  4 W 2.81, 4 Ni 2.81
Cd 0.2500 0.7500 0.7500  4 W 2.81, 4 Ni 2.81
Cd 0.7500 0.2500 0.2500  4 W 2.81, 4 Ni 2.81
Cd 0.7500 0.2500 0.7500  4 W 2.81, 4 Ni 2.81
Cd 0.7500 0.7500 0.2500  4 W 2.81, 4 Ni 2.81
Cd 0.7500 0.7500 0.7500  4 W 2.81, 4 Ni 2.81
Ni 0.0000 0.0000 0.0000  8 Cd 2.81
Ni 0.0000 0.5000 0.5000  8 Cd 2.81
Ni 0.5000 0.0000 0.5000  8 Cd 2.81
Ni 0.5000 0.5000 0.0000  8 Cd 2.81
W 0.0000 0.0000 0.5000  8 Cd 2.81
W 0.0000 0.5000 0.0000  8 Cd 2.81
W 0.5000 0.0000 0.0000  8 Cd 2.81
W 0.5000 0.5000 0.5000  8 Cd 2.81

---

[6]
Cd2NiW: optimized geometry, GGA-PBE.

Results
ΔH_f (0 K), eV per formula unit: 2.75
Energy, eV per cell: -35.620
Energy above the lowest structure with this stoichiometry, eV per atom: 0.489
Magnetic moment, Bohr magnetons per cell: 1.6

abc: 4.1740 4.1740 7.7206
angles: 90.00 90.00 90.00
Closest atoms and distances in Å follow each position.
Atoms (fractional coordinates):
Cd 0.0000 0.0000 0.0000  4 Cd 2.84, 4 Ni 2.84, 4 W 2.95
Cd 0.0000 0.5000 0.2500  4 Cd 2.84, 4 W 2.84, 4 Ni 2.95
Cd 0.5000 0.0000 0.7500  4 Cd 2.84, 4 W 2.84, 4 Ni 2.95
Cd 0.5000 0.5000 0.5000  4 Cd 2.84, 4 Ni 2.84, 4 W 2.95
Ni 0.0000 0.5000 0.7500  8 Cd 2.84-2.95, 4 W 2.84
Ni 0.5000 0.0000 0.2500  8 Cd 2.84-2.95, 4 W 2.84
W 0.0000 0.0000 0.5000  8 Cd 2.84-2.95, 4 Ni 2.84
W 0.5000 0.5000 0.0000  8 Cd 2.84-2.95, 4 Ni 2.84

---

[7]
Cd2NiW: optimized geometry, GGA-PBE.

Results
ΔH_f (0 K), eV per formula unit: 1.93
Energy, eV per cell: -37.260
Energy above the lowest structure with this stoichiometry, eV per atom: 0.284
Magnetic moment, Bohr magnetons per cell: 0.0

abc: 2.7691 4.9624 10.1487
angles: 90.00 90.00 90.00
Closest atoms and distances in Å follow each position.
Atoms (fractional coordinates):
Cd 0.0000 0.0000 0.0000  2 Cd 2.77, 2 Ni 2.81, 4 W 2.89
Cd 0.0000 0.5000 0.2156  2 Cd 2.77, 4 Ni 2.85, 2 W 3.07
Cd 0.5000 0.0000 0.7156  2 Cd 2.77, 4 Ni 2.85, 2 W 3.07
Cd 0.5000 0.5000 0.5000  2 Cd 2.77, 2 Ni 2.81, 4 W 2.89
Ni 0.0000 0.5000 0.7415  2 W 2.49, 2 Ni 2.77
Ni 0.5000 0.0000 0.2415  2 W 2.49, 2 Ni 2.77
W 0.0000 0.0000 0.4459  2 Ni 2.49, 2 W 2.77
W 0.5000 0.5000 0.9459  2 Ni 2.49, 2 W 2.77

---

[8]
CdNiW3: optimized geometry, GGA-PBE.

Results
ΔH_f (0 K), eV per formula unit: 16.41
Energy, eV per cell: -29.149
Energy above the lowest structure with this stoichiometry, eV per atom: 1.788
Magnetic moment, Bohr magnetons per cell: 0.0

abc: 4.8006 4.8006 4.8006
angles: 90.00 90.00 90.00
Closest atoms and distances in Å follow each position.
Atoms (fractional coordinates):
Cd 0.0000 0.0000 0.0000  6 W 2.40
Ni 0.5000 0.5000 0.5000  12 W 3.39
W 0.0000 0.0000 0.5000  2 Cd 2.40
W 0.0000 0.5000 0.0000  2 Cd 2.40
W 0.5000 0.0000 0.0000  2 Cd 2.40

---

[9]
Cd2NiW: optimized geometry, GGA-PBE.

Results
ΔH_f (0 K), eV per formula unit: 2.21
Energy, eV per cell: -18.353
Energy above the lowest structure with this stoichiometry, eV per atom: 0.354
Magnetic moment, Bohr magnetons per cell: 0.0

abc: 2.7526 4.5945 5.3947
angles: 90.00 100.93 90.00
Closest atoms and distances in Å follow each position.
Atoms (fractional coordinates):
Cd 0.1688 0.0000 0.2599  2 Ni 2.72, 5 Cd 2.75-2.91, 2 W 2.93
Cd 0.8312 0.0000 0.7401  2 Ni 2.72, 5 Cd 2.75-2.91, 2 W 2.93
Ni 0.0000 0.5000 0.5000  4 Cd 2.72, 2 Ni 2.75, 2 W 2.79
W 0.5000 0.5000 0.0000  2 W 2.75, 2 Ni 2.79, 4 Cd 2.93

---

[10]
CdNi5W: optimized geometry, GGA-PBE.

Results
ΔH_f (0 K), eV per formula unit: 0.29
Energy, eV per cell: -42.486
Magnetic moment, Bohr magnetons per cell: 0.0

abc: 3.6032 3.6032 7.5238
angles: 90.00 90.00 90.00
Closest atoms and distances in Å follow each position.
Atoms (fractional coordinates):
Cd 0.0000 0.0000 0.0000  8 Ni 2.70
Ni 0.0000 0.0000 0.5000  8 Ni 2.51, 4 W 2.55
Ni 0.0000 0.5000 0.2668  2 W 2.51, 6 Ni 2.51-2.55, 2 Cd 2.70
Ni 0.0000 0.5000 0.7332  2 W 2.51, 6 Ni 2.51-2.55, 2 Cd 2.70
Ni 0.5000 0.0000 0.2668  2 W 2.51, 6 Ni 2.51-2.55, 2 Cd 2.70
Ni 0.5000 0.0000 0.7332  2 W 2.51, 6 Ni 2.51-2.55, 2 Cd 2.70
W 0.5000 0.5000 0.5000  12 Ni 2.51-2.55

---

[11]
Cd2NiW: optimized geometry, GGA-PBE.

Results
ΔH_f (0 K), eV per formula unit: 1.67
Energy, eV per cell: -18.891
Energy above the lowest structure with this stoichiometry, eV per atom: 0.219
Magnetic moment, Bohr magnetons per cell: 0.0

abc: 2.8124 2.8124 8.3933
angles: 90.00 90.00 90.00
Closest atoms and distances in Å follow each position.
Atoms (fractional coordinates):
Cd 0.0000 0.0000 0.2265  4 Ni 2.75, 4 Cd 2.81, 4 W 3.04
Cd 0.0000 0.0000 0.7735  4 Ni 2.75, 4 Cd 2.81, 4 W 3.04
Ni 0.5000 0.5000 0.0000  8 Cd 2.75, 4 Ni 2.81
W 0.5000 0.5000 0.5000  4 W 2.81, 8 Cd 3.04

---

[12]
Cd2NiW: optimized geometry, GGA-PBE.

Results
ΔH_f (0 K), eV per formula unit: 2.94
Energy, eV per cell: -35.253
Energy above the lowest structure with this stoichiometry, eV per atom: 0.535
Magnetic moment, Bohr magnetons per cell: 4.2

abc: 4.0361 4.0361 8.3807
angles: 90.00 90.00 90.00
Closest atoms and distances in Å follow each position.
Atoms (fractional coordinates):
Cd 0.0000 0.5000 0.2500  4 Cd 2.85, 4 W 2.91, 4 Ni 2.91
Cd 0.0000 0.5000 0.7500  4 Cd 2.85, 4 W 2.91, 4 Ni 2.91
Cd 0.5000 0.0000 0.2500  4 Cd 2.85, 4 W 2.91, 4 Ni 2.91
Cd 0.5000 0.0000 0.7500  4 Cd 2.85, 4 W 2.91, 4 Ni 2.91
Ni 0.0000 0.0000 0.0000  4 W 2.85, 8 Cd 2.91
Ni 0.5000 0.5000 0.5000  4 W 2.85, 8 Cd 2.91
W 0.0000 0.0000 0.5000  4 Ni 2.85, 8 Cd 2.91
W 0.5000 0.5000 0.0000  4 Ni 2.85, 8 Cd 2.91

---

[13]
Y2CdNi2: optimized geometry, GGA-PBE.

Results
ΔH_f (0 K), eV per formula unit: -0.87
Energy, eV per cell: -52.554
Magnetic moment, Bohr magnetons per cell: 0.0

abc: 3.5063 3.5063 17.4746
angles: 90.00 90.00 90.00
Closest atoms and distances in Å follow each position.
Atoms (fractional coordinates):
Y 0.0000 0.0000 0.1262  4 Ni 2.78
Y 0.0000 0.0000 0.8738  4 Ni 2.78
Y 0.5000 0.5000 0.3738  4 Ni 2.78
Y 0.5000 0.5000 0.6262  4 Ni 2.78
Cd 0.0000 0.0000 0.5000  8 Y 3.32, 4 Cd 3.51
Cd 0.5000 0.5000 0.0000  8 Y 3.32, 4 Cd 3.51
Ni 0.0000 0.5000 0.2500  4 Ni 2.48
Ni 0.0000 0.5000 0.7500  4 Ni 2.48
Ni 0.5000 0.0000 0.2500  4 Ni 2.48
Ni 0.5000 0.0000 0.7500  4 Ni 2.48